Entry from Alexandria: a relaxed structure of La2CdIn (GGA-PBE).

Results
DFT formation energy: -0.421 eV/atom
Density of states at the Fermi level: 1.335 states/eV/atom

```
La2CdIn
1.0
3.912 0.000 0.000
0.000 3.912 0.000
0.000 0.000 8.040
La Cd In
2 1 1
Direct
0.000 0.000 0.250 La
0.000 0.000 0.750 La
0.500 0.500 0.000 Cd
0.500 0.500 0.500 In
```